## P
The following is a PBE-GGA calculation of a geometry-optimized BRuSe2N structure, from Alexandria via LeMat-Bulk.

Results
D(E_F): 7.39 states/eV/f.u.

a b c (Å): 5.049 5.049 3.623
angles (deg): 90.00 90.00 90.00
Positions (direct):
1 B 0.000 0.000 0.000
2 Ru 0.500 0.500 0.500
3 Se 0.000 0.500 0.500
4 Se 0.500 0.000 0.500
5 N 0.500 0.500 0.000

---

## Q
The following is a PBE-GGA calculation of a geometry-optimized BRuSe2N structure, from Alexandria via LeMat-Bulk.

Results
D(E_F): 4.21 states/eV/f.u.

a b c (Å): 5.088 5.088 2.735
angles (deg): 90.00 90.00 90.00
Positions (direct):
1 B 0.000 0.000 0.000
2 Ru 0.500 0.500 0.500
3 Se 0.000 0.500 0.000
4 Se 0.500 0.000 0.000
5 N 0.000 0.000 0.500

---

Going by the energies, Q is most stable and the next is 0.680 eV/atom up.

---

## P
The following is a PBE-GGA calculation of a geometry-optimized BTe2RuN structure, from Alexandria via LeMat-Bulk.

Results
D(E_F): 5.03 states/eV/f.u.

a b c (Å): 5.368 5.368 2.849
angles (deg): 90.00 90.00 90.00
Positions (direct):
1 B 0.000 0.000 0.000
2 Te 0.000 0.500 0.000
3 Te 0.500 0.000 0.000
4 Ru 0.500 0.500 0.500
5 N 0.000 0.000 0.500

---

## Q
The following is a PBE-GGA calculation of a geometry-optimized BTe2RuN structure, from Alexandria via LeMat-Bulk.

Results
D(E_F): 4.52 states/eV/f.u.

a b c (Å): 5.398 5.398 3.623
angles (deg): 90.00 90.00 90.00
Positions (direct):
1 B 0.000 0.000 0.000
2 Te 0.000 0.500 0.500
3 Te 0.500 0.000 0.500
4 Ru 0.500 0.500 0.500
5 N 0.500 0.500 0.000

---

Going by the energies, P is most stable and the next is 0.497 eV/atom up.

---

## P
The following is a PBE-GGA calculation of a geometry-optimized BSN2 structure, from Alexandria via LeMat-Bulk.

Results
D(E_F): 1.71 states/eV/f.u.

a b c (Å): 3.592 3.592 3.592
angles (deg): 60.00 60.00 60.00
Positions (direct):
1 B 0.000 0.000 0.000
2 S 0.500 0.500 0.500
3 N 0.250 0.250 0.250
4 N 0.750 0.750 0.750

---

## Q
The following is a PBE-GGA calculation of a geometry-optimized BSN2 structure, from Alexandria via LeMat-Bulk.

Results
D(E_F): 1.78 states/eV/f.u.

a b c (Å): 4.745 4.745 4.745
angles (deg): 123.73 123.73 83.64
Positions (direct):
1 B 0.000 0.000 0.000
2 B 0.750 0.250 0.500
3 S 0.250 0.750 0.500
4 S 0.500 0.500 0.000
5 N 0.016 0.625 0.891
6 N 0.375 0.266 0.391
7 N 0.734 0.125 0.109
8 N 0.875 0.984 0.609

---

Going by the energies, Q is most stable and the next is 2.047 eV/atom up.

---

## P
The following is a PBE-GGA calculation of a geometry-optimized BS2N2 structure, from Alexandria via LeMat-Bulk.

Results
D(E_F): 2.08 states/eV/f.u.

a b c (Å): 3.221 3.221 7.483
angles (deg): 90.00 90.00 90.00
Positions (direct):
1 B 0.000 0.000 0.000
2 S 0.500 0.500 0.000
3 S 0.500 0.500 0.500
4 N 0.000 0.500 0.500
5 N 0.500 0.000 0.500

---

## Q
The following is a PBE-GGA calculation of a geometry-optimized BS2N2 structure, from Alexandria via LeMat-Bulk.

Results
D(E_F): 1.45 states/eV/f.u.

a b c (Å): 3.943 3.943 3.569
angles (deg): 90.00 90.00 90.00
Positions (direct):
1 B 0.000 0.000 0.000
2 S 0.000 0.500 0.500
3 S 0.500 0.000 0.500
4 N 0.500 0.500 0.000
5 N 0.500 0.500 0.500

---

## R
The following is a PBE-GGA calculation of a geometry-optimized BS2N2 structure, from Alexandria via LeMat-Bulk.

Results
D(E_F): 2.81 states/eV/f.u.

a b c (Å): 3.141 3.141 7.396
angles (deg): 90.00 90.00 90.00
Positions (direct):
1 B 0.000 0.000 0.000
2 S 0.000 0.000 0.500
3 S 0.500 0.500 0.500
4 N 0.000 0.500 0.000
5 N 0.500 0.000 0.000

---

## S
The following is a PBE-GGA calculation of a geometry-optimized BS2N2 structure, from Alexandria via LeMat-Bulk.

Results
D(E_F): 3.17 states/eV/f.u.

a b c (Å): 5.040 5.040 2.659
angles (deg): 90.00 90.00 90.00
Positions (direct):
1 B 0.000 0.000 0.000
2 S 0.000 0.500 0.000
3 S 0.500 0.000 0.000
4 N 0.000 0.000 0.500
5 N 0.500 0.500 0.500

---

Going by the energies, R is most stable and the next is 0.468 eV/atom up.

---

## P
The following is a PBE-GGA calculation of a geometry-optimized BSbS2N structure, from Alexandria via LeMat-Bulk.

Results
D(E_F): 4.47 states/eV/f.u.

a b c (Å): 5.572 5.572 2.707
angles (deg): 90.00 90.00 90.00
Positions (direct):
1 B 0.000 0.000 0.000
2 Sb 0.500 0.500 0.500
3 S 0.000 0.500 0.000
4 S 0.500 0.000 0.000
5 N 0.000 0.000 0.500

---

## Q
The following is a PBE-GGA calculation of a geometry-optimized BSbS2N structure, from Alexandria via LeMat-Bulk.

Results
D(E_F): 5.09 states/eV/f.u.

a b c (Å): 5.027 5.027 3.962
angles (deg): 90.00 90.00 90.00
Positions (direct):
1 B 0.000 0.000 0.000
2 Sb 0.500 0.500 0.500
3 S 0.000 0.500 0.500
4 S 0.500 0.000 0.500
5 N 0.500 0.500 0.000

---

Going by the energies, P is most stable and the next is 1.321 eV/atom up.

---

## P
The following is a PBE-GGA calculation of a geometry-optimized BSeS2N structure, from Alexandria via LeMat-Bulk.

Results
D(E_F): 5.15 states/eV/f.u.

a b c (Å): 4.886 4.886 3.721
angles (deg): 90.00 90.00 90.00
Positions (direct):
1 B 0.000 0.000 0.000
2 Se 0.500 0.500 0.500
3 S 0.000 0.500 0.500
4 S 0.500 0.000 0.500
5 N 0.500 0.500 0.000

---

## Q
The following is a PBE-GGA calculation of a geometry-optimized BSeS2N structure, from Alexandria via LeMat-Bulk.

Results
D(E_F): 7.24 states/eV/f.u.

a b c (Å): 7.737 7.737 2.490
angles (deg): 90.00 90.00 90.00
Positions (direct):
1 B 0.000 0.000 0.000
2 Se 0.500 0.500 0.500
3 S 0.000 0.500 0.000
4 S 0.500 0.000 0.000
5 N 0.000 0.000 0.500

---

Going by the energies, Q is most stable and the next is 1.429 eV/atom up.

---

## P
The following is a PBE-GGA calculation of a geometry-optimized SiBS2N structure, from Alexandria via LeMat-Bulk.

Results
D(E_F): 2.70 states/eV/f.u.

a b c (Å): 5.266 5.266 2.643
angles (deg): 90.00 90.00 90.00
Positions (direct):
1 Si 0.000 0.000 0.000
2 B 0.500 0.500 0.500
3 S 0.000 0.500 0.500
4 S 0.500 0.000 0.500
5 N 0.500 0.500 0.000

---

## Q
The following is a PBE-GGA calculation of a geometry-optimized SiBS2N structure, from Alexandria via LeMat-Bulk.

Results
D(E_F): 3.72 states/eV/f.u.

a b c (Å): 4.677 4.677 3.301
angles (deg): 90.00 90.00 90.00
Positions (direct):
1 Si 0.000 0.000 0.000
2 B 0.500 0.500 0.500
3 S 0.000 0.500 0.000
4 S 0.500 0.000 0.000
5 N 0.000 0.000 0.500

---

Going by the energies, P is most stable and the next is 0.665 eV/atom up.

---

## P
The following is a PBE-GGA calculation of a geometry-optimized TaBS2N structure, from Alexandria via LeMat-Bulk.

Results
D(E_F): 3.16 states/eV/f.u.

a b c (Å): 4.877 4.877 3.955
angles (deg): 90.00 90.00 90.00
Positions (direct):
1 Ta 0.000 0.000 0.000
2 B 0.500 0.500 0.500
3 S 0.000 0.500 0.000
4 S 0.500 0.000 0.000
5 N 0.000 0.000 0.500

---

## Q
The following is a PBE-GGA calculation of a geometry-optimized TaBS2N structure, from Alexandria via LeMat-Bulk.

Results
D(E_F): 4.33 states/eV/f.u.

a b c (Å): 4.860 4.860 2.761
angles (deg): 90.00 90.00 90.00
Positions (direct):
1 Ta 0.000 0.000 0.000
2 B 0.500 0.500 0.500
3 S 0.000 0.500 0.500
4 S 0.500 0.000 0.500
5 N 0.500 0.500 0.000

---

Going by the energies, Q is most stable and the next is 0.399 eV/atom up.